(1)
The following is a DFT calculation (PBE) of a relaxed Rb2InRhBr6 crystal.

* symmetry: No. 139
* raw formation energy: -1007 meV per atom
* energy: -32.1 eV/cell

Cell and atoms, written as POSCAR:
```
Rb2InRhBr6
1.0
-3.899 3.899 5.504
3.899 -3.899 5.504
3.899 3.899 -5.504
Rb In Rh Br
2 1 1 6
direct
0.250 0.750 0.500
0.750 0.250 0.500
0.000 0.000 0.000
0.500 0.500 0.000
0.269 0.269 0.000
0.269 0.269 0.539
0.269 0.731 0.000
0.731 0.269 0.000
0.731 0.731 0.000
0.731 0.731 0.461
```

(2)
The following is a DFT calculation (PBE) of a relaxed HoGa4Co2 crystal.

* formation energy from the elements: -0.3960 eV per atom
* symmetry: No. 62
* energy: -134.7 eV/cell

Cell and atoms, written as POSCAR:
```
HoGa4Co2
1.0
16.780 0.000 0.000
0.000 4.132 0.000
0.000 0.000 6.352
Ho Ga Co
4 16 8
direct
0.140 0.250 0.014
0.360 0.750 0.514
0.640 0.250 0.486
0.860 0.750 0.986
0.032 0.750 0.843
0.072 0.250 0.503
0.186 0.750 0.317
0.194 0.750 0.722
0.306 0.250 0.222
0.314 0.250 0.817
0.428 0.750 0.003
0.468 0.250 0.343
0.532 0.750 0.657
0.572 0.250 0.997
0.686 0.750 0.183
0.694 0.750 0.778
0.806 0.250 0.278
0.814 0.250 0.683
0.928 0.750 0.497
0.968 0.250 0.157
0.039 0.750 0.245
0.216 0.250 0.523
0.284 0.750 0.023
0.461 0.250 0.745
0.539 0.750 0.255
0.716 0.250 0.977
0.784 0.750 0.477
0.961 0.250 0.755
```

(3)
The following is a DFT calculation (PBE) of a relaxed MgNi6Mo crystal.

* formation energy from the elements: -0.1183 eV per atom
* symmetry: No. 65
* energy: -192.2 eV/cell

Cell and atoms, written as POSCAR:
```
MgNi6Mo
1.0
3.635 -5.135 0.000
3.635 5.135 0.000
0.000 0.000 10.295
Mg Ni Mo
4 24 4
direct
0.000 0.000 0.248
0.000 0.000 0.752
0.249 0.751 0.000
0.751 0.249 0.000
0.000 0.000 0.000
0.000 0.000 0.500
0.128 0.380 0.378
0.128 0.380 0.622
0.132 0.378 0.128
0.132 0.378 0.872
0.253 0.747 0.256
0.253 0.747 0.744
0.378 0.132 0.128
0.378 0.132 0.872
0.380 0.128 0.378
0.380 0.128 0.622
0.500 0.500 0.000
0.500 0.500 0.500
0.620 0.872 0.378
0.620 0.872 0.622
0.622 0.868 0.128
0.622 0.868 0.872
0.747 0.253 0.256
0.747 0.253 0.744
0.868 0.622 0.128
0.868 0.622 0.872
0.872 0.620 0.378
0.872 0.620 0.622
0.250 0.750 0.500
0.500 0.500 0.241
0.500 0.500 0.759
0.750 0.250 0.500
```

(4)
The following is a DFT calculation (PBE) of a relaxed LaCe2Pm crystal.

* formation energy from the elements: 0.2107 eV per atom
* distance to the lowest polymorph of the same formula: 98.0 meV/atom
* symmetry: No. 166
* energy: -20.7 eV/cell

Cell and atoms, written as POSCAR:
```
LaCe2Pm
1.0
1.707 0.986 12.318
-1.707 0.986 12.318
0.000 -1.971 12.318
La Ce Pm
1 2 1
direct
0.000 0.000 0.000
0.086 0.086 0.086
0.914 0.914 0.914
0.500 0.500 0.500
```